## Ba2PmHgSe5 (PBE-GGA)

Data for a relaxed Ba2PmHgSe5 crystal.

CIF file:
```
data_Ba2PmHgSe5
_cell_length_a 9.8671
_cell_length_b 9.8671
_cell_length_c 13.3374
_cell_angle_alpha 90.00
_cell_angle_beta 90.00
_cell_angle_gamma 154.46
_symmetry_space_group_name_H-M 'P 1'
_symmetry_Int_Tables_number 1
_symmetry_space_group_name_Hall 'P 1'
loop_
_atom_site_label
_atom_site_type_symbol
_atom_site_fract_x
_atom_site_fract_y
_atom_site_fract_z
_atom_site_occupancy
Ba1 Ba 0.1180 0.8820 0.5000 1
Ba2 Ba 0.1306 0.8694 0.1293 1
Ba3 Ba 0.8694 0.1306 0.6293 1
Ba4 Ba 0.8820 0.1180 0.0000 1
Pm1 Pm 0.2062 0.7938 0.8239 1
Pm2 Pm 0.7938 0.2062 0.3239 1
Hg1 Hg 0.4583 0.5417 0.2581 1
Hg2 Hg 0.5417 0.4583 0.7581 1
Se1 Se 0.0508 0.9492 0.8740 1
Se2 Se 0.2935 0.7065 0.4735 1
Se3 Se 0.3096 0.6904 0.1745 1
Se4 Se 0.3550 0.6450 0.8181 1
Se5 Se 0.4952 0.5048 0.5758 1
Se6 Se 0.5048 0.4952 0.0758 1
Se7 Se 0.6450 0.3550 0.3181 1
Se8 Se 0.6904 0.3096 0.6745 1
Se9 Se 0.7065 0.2935 0.9735 1
Se10 Se 0.9492 0.0508 0.3740 1
```

Summary:
For the raw formation energy, the calculation gives -13.0 eV/f.u. For the density of states at the Fermi level, the calculation gives 0.749 states/eV per atom. The calculation puts the total energy at -4.365 eV/atom. For the size of the total moment, the calculation gives 0.00 Bohr magnetons per cell.